PBE-GGA Li4Tb3DySe8, relaxed; formation energy (no corrections) = -1.697 eV/atom; symmetry = R-3m (166); mass density = 5.744 Mg/m³
1.0
-5.111 6.322 0.777
-6.192 -5.082 0.622
6.443 -0.676 4.970
Li Tb Dy Se
4 3 1 8
Cartesian
-2.555 3.161 0.388 Li
0.666 2.823 2.873 Li
0.000 0.000 0.000 Li
3.221 -0.338 2.485 Li
-5.651 0.620 0.699 Tb
-2.430 0.282 3.184 Tb
0.126 -2.879 2.796 Tb
-3.096 -2.541 0.311 Dy
-5.928 -2.247 0.679 Se
-2.716 -2.584 3.157 Se
0.410 -0.014 2.816 Se
-8.491 0.924 1.069 Se
3.632 -0.360 5.299 Se
-5.269 0.578 3.552 Se
-2.143 3.147 3.212 Se
1.069 2.810 5.689 Se